[1]
First-principles (GGA-PBE) data for CoAgRu2Pt after structural relaxation, as listed in Alexandria via LeMat-Bulk.

Structure (POSCAR):
```
CoAgRu2Pt
1.0
-3.168 -2.317 1.833
2.723 -3.754 -0.039
1.503 1.050 3.925
Ru Ag Pt Co
2 1 1 1
direct
0.000 0.000 0.500
0.500 0.000 0.000
0.000 0.500 0.000
0.500 0.500 0.500
0.000 0.000 0.000
```

space-group type	P4/mmm (123)
ΔH_f (0 K)	1353.0	meV/atom

***

[2]
First-principles (GGA-PBE) data for CoAg2SbPt after structural relaxation, as listed in Alexandria via LeMat-Bulk.

Structure (POSCAR):
```
CoAg2SbPt
1.0
-2.366 3.848 -2.295
0.860 -1.957 -4.169
-4.383 -2.527 0.282
Pt Ag Sb Co
1 2 1 1
direct
0.500 0.500 0.500
0.500 0.000 0.000
0.000 0.000 0.500
0.000 0.000 0.000
0.000 0.500 0.000
```

formation energy (no corrections)	1.124	eV per atom
space-group type	P4/mmm (123)

***

[3]
First-principles (GGA-PBE) data for CoAgPt2Se after structural relaxation, as listed in Alexandria via LeMat-Bulk.

Structure (POSCAR):
```
CoAgPt2Se
1.0
4.698 0.000 0.000
0.000 4.783 0.000
0.000 0.000 4.698
Ag Pt Se Co
1 2 1 1
direct
0.000 0.500 0.000
0.500 0.000 0.000
0.000 0.000 0.500
0.000 0.000 0.000
0.500 0.500 0.500
```

formation energy (no corrections)	0.925	eV per atom
space-group type	P4/mmm (123)

***

[4]
First-principles (GGA-PBE) data for CoAgSn2Pt after structural relaxation, as listed in Alexandria via LeMat-Bulk.

Structure (POSCAR):
```
CoAgSn2Pt
1.0
-1.045 3.025 3.468
-1.978 -3.616 2.558
4.180 -0.863 2.012
Sn Ag Co Pt
2 1 1 1
direct
0.000 0.000 0.500
0.500 0.000 0.000
0.000 0.500 0.000
0.000 0.000 0.000
0.500 0.500 0.500
```

space-group type	P4/mmm (123)
ΔH_f (0 K)	458.4	meV/atom

***

[5]
First-principles (GGA-PBE) data for PuCoAg after structural relaxation, as listed in Alexandria via LeMat-Bulk.

Structure (POSCAR):
```
PuCoAg
1.0
5.316 0.000 0.000
2.658 4.355 0.000
2.658 0.000 4.695
Pu Ag Co
2 2 2
direct
0.663 0.000 0.675
0.337 0.000 0.325
0.835 0.330 0.000
0.165 0.670 0.000
0.750 0.500 0.500
0.250 0.500 0.500
```

space-group type	Fmmm (69)
ΔH_f (0 K)	107.7	meV/atom

***

[6]
First-principles (GGA-PBE) data for Pu3CoAg3S8 after structural relaxation, as listed in Alexandria via LeMat-Bulk.

Structure (POSCAR):
```
Pu3CoAg3S8
1.0
-5.384 -2.085 5.252
4.098 -5.468 -3.769
3.339 4.490 5.207
S Ag Pu Co
8 3 3 1
direct
0.781 0.998 0.715
0.217 0.998 0.715
0.219 0.002 0.285
0.783 0.002 0.285
0.746 0.493 0.738
0.254 0.507 0.262
0.783 0.566 0.285
0.217 0.434 0.715
0.500 0.500 0.000
0.000 0.500 0.000
0.000 0.000 0.000
0.500 0.000 0.500
0.000 0.500 0.500
0.500 0.500 0.500
0.000 0.000 0.500
```

formation energy (no corrections)	-0.833	eV per atom
space-group type	R-3m (166)

***

[7]
First-principles (GGA-PBE) data for TmPuCoAg after structural relaxation, as listed in Alexandria via LeMat-Bulk.

Structure (POSCAR):
```
TmPuCoAg
1.0
-0.046 3.781 3.162
-2.690 -0.266 4.121
2.229 -0.419 4.376
Co Ag Tm Pu
1 1 1 1
direct
0.750 0.750 0.750
0.250 0.250 0.250
0.500 0.500 0.500
0.000 0.000 0.000
```

space-group type	F-43m (216)
ΔH_f (0 K)	21.6	meV/atom

***

[8]
First-principles (GGA-PBE) data for Rb3CoAg after structural relaxation, as listed in Alexandria via LeMat-Bulk.

Structure (POSCAR):
```
Rb3CoAg
1.0
-1.026 -4.298 -4.670
5.169 2.179 -3.142
3.683 -4.256 3.108
Ag Rb Co
1 3 1
direct
0.500 0.500 0.500
0.500 0.000 0.000
0.000 0.500 0.000
0.000 0.000 0.500
0.000 0.000 0.000
```

energy above the most stable polymorph in this dataset	0	meV per atom
space-group type	Pm-3m (221)
ΔH_f (0 K)	743.8	meV/atom

***

[9]
First-principles (GGA-PBE) data for RbCo2Ag2 after structural relaxation, as listed in Alexandria via LeMat-Bulk.

Structure (POSCAR):
```
RbCo2Ag2
1.0
4.605 0.000 0.000
0.000 4.605 0.000
2.303 2.303 5.067
Co Rb Ag
2 1 2
direct
0.394 0.394 0.212
0.606 0.606 0.788
0.000 0.000 0.000
0.750 0.250 0.500
0.250 0.750 0.500
```

energy above the most stable polymorph in this dataset	137	meV per atom
space-group type	I4/mmm (139)
ΔH_f (0 K)	761.0	meV/atom

***

[10]
First-principles (GGA-PBE) data for RbCo2Ag2 after structural relaxation, as listed in Alexandria via LeMat-Bulk.

Structure (POSCAR):
```
RbCo2Ag2
1.0
8.276 0.000 0.000
0.000 8.276 0.000
0.000 0.000 2.838
Rb Co Ag
2 4 4
direct
0.000 0.000 0.000
0.500 0.500 0.000
0.095 0.405 0.000
0.905 0.595 0.000
0.595 0.095 0.000
0.405 0.905 0.000
0.187 0.687 0.500
0.813 0.313 0.500
0.687 0.813 0.500
0.313 0.187 0.500
```

energy above the most stable polymorph in this dataset	0	meV per atom
space-group type	P4/mbm (127)
ΔH_f (0 K)	624.1	meV/atom

***

[11]
First-principles (GGA-PBE) data for RbSc2CoAg after structural relaxation, as listed in Alexandria via LeMat-Bulk.

Structure (POSCAR):
```
RbSc2CoAg
1.0
-4.799 0.001 0.371
-0.106 -5.280 -1.362
0.359 -1.206 4.646
Ag Rb Sc Co
1 1 2 1
direct
0.000 0.500 0.000
0.500 0.500 0.500
0.500 0.000 0.000
0.000 0.000 0.500
0.000 0.000 0.000
```

space-group type	P4/mmm (123)
ΔH_f (0 K)	230.6	meV/atom

***

[12]
First-principles (GGA-PBE) data for RbTl2CoAg after structural relaxation, as listed in Alexandria via LeMat-Bulk.

Structure (POSCAR):
```
RbTl2CoAg
1.0
-2.731 -4.287 -0.412
2.841 -2.191 3.967
-3.348 1.807 3.396
Co Tl Ag Rb
1 2 1 1
direct
0.000 0.000 0.000
0.000 0.000 0.500
0.500 0.000 0.000
0.000 0.500 0.000
0.500 0.500 0.500
```

space-group type	P4/mmm (123)
ΔH_f (0 K)	206.6	meV/atom